! RePAu2 | the Alexandria database | PBE-GGA | optimized geometry; values from VASP
&SYSTEM
  ibrav = 0, nat = 8, ntyp = 3
/
ATOMIC_SPECIES
Re 186.21 Re.upf
P 30.97 P.upf
Au 196.97 Au.upf
ATOMIC_POSITIONS crystal
Re 0.0000 0.0000 0.0000
Re 0.5000 0.5000 0.0000
P 0.0000 0.5000 0.8205
P 0.5000 0.0000 0.8205
Au 0.0000 0.0000 0.5152
Au 0.0000 0.5000 0.2558
Au 0.5000 0.0000 0.2558
Au 0.5000 0.5000 0.5152
CELL_PARAMETERS angstrom
3.0297 0.0000 0.0000
0.0000 4.7567 0.0000
0.0000 0.0000 9.7589
! M_tot (Bohr magnetons per cell): 0.0
! Raw total energy (eV per atom): -5.789
! Density of states at the Fermi level (states/eV/atom): 0.617


! ReP2Au | the Alexandria database | PBE-GGA | optimized geometry; values from VASP
&SYSTEM
  ibrav = 0, nat = 8, ntyp = 3
/
ATOMIC_SPECIES
Re 186.21 Re.upf
P 30.97 P.upf
Au 196.97 Au.upf
ATOMIC_POSITIONS crystal
Re 0.0000 0.0000 0.0000
Re 0.5000 0.5000 0.0000
P 0.2500 0.2500 0.0000
P 0.2500 0.7500 0.0000
P 0.7500 0.2500 0.0000
P 0.7500 0.7500 0.0000
Au 0.0000 0.5000 0.0000
Au 0.5000 0.0000 0.0000
CELL_PARAMETERS angstrom
6.0364 0.0000 0.0000
0.0000 8.1150 0.0000
-0.0062 0.0000 2.6312
! M_tot (Bohr magnetons per cell): 0.0
! Raw total energy (eV per atom): -6.147
! Excess energy over the best structure of this formula in the dataset (meV/atom): 522
! Density of states at the Fermi level (states/eV/atom): 0.619


! ReP2Au | the Alexandria database | PBE-GGA | optimized geometry; values from VASP
&SYSTEM
  ibrav = 0, nat = 8, ntyp = 3
/
ATOMIC_SPECIES
Re 186.21 Re.upf
P 30.97 P.upf
Au 196.97 Au.upf
ATOMIC_POSITIONS crystal
Re 0.0000 0.0000 0.0000
Re 0.5000 0.5000 0.0000
P 0.0000 0.0000 0.4879
P 0.0000 0.5000 0.8164
P 0.5000 0.0000 0.8164
P 0.5000 0.5000 0.4879
Au 0.0000 0.5000 0.2633
Au 0.5000 0.0000 0.2633
CELL_PARAMETERS angstrom
2.9927 0.0000 0.0000
0.0000 4.7928 0.0000
0.0000 0.0000 9.6517
! M_tot (Bohr magnetons per cell): 0.0
! Raw total energy (eV per atom): -6.119
! Excess energy over the best structure of this formula in the dataset (meV/atom): 549
! Density of states at the Fermi level (states/eV/atom): 0.619


! ReP2Au | the Alexandria database | PBE-GGA | optimized geometry; values from VASP
&SYSTEM
  ibrav = 0, nat = 16, ntyp = 3
/
ATOMIC_SPECIES
Re 186.21 Re.upf
P 30.97 P.upf
Au 196.97 Au.upf
ATOMIC_POSITIONS crystal
Re 0.0000 0.0000 0.0000
Re 0.0000 0.5000 0.5000
Re 0.5000 0.0000 0.5000
Re 0.5000 0.5000 0.0000
P 0.0000 0.0000 0.5000
P 0.0000 0.5000 0.0000
P 0.2500 0.2500 0.7500
P 0.2500 0.7500 0.2500
P 0.5000 0.0000 0.0000
P 0.5000 0.5000 0.5000
P 0.7500 0.2500 0.2500
P 0.7500 0.7500 0.7500
Au 0.2500 0.2500 0.2500
Au 0.2500 0.7500 0.7500
Au 0.7500 0.2500 0.7500
Au 0.7500 0.7500 0.2500
CELL_PARAMETERS angstrom
6.2886 0.0000 0.0000
0.0000 6.2886 0.0000
0.0000 0.0000 6.2886
! M_tot (Bohr magnetons per cell): 0.0
! Raw total energy (eV per atom): -5.706
! Excess energy over the best structure of this formula in the dataset (meV/atom): 962
! Density of states at the Fermi level (states/eV/atom): 1.000


Question: Which of these has the highest density of states at the Fermi level?
Answer: number 4


Question: What is the raw total energy in the second record?
Answer: -6.147 eV per atom